(w)
# SrMnRu2

A relaxed SrMnRu2 crystal (PBE, Alexandria).

Results
Space-group type ... R-3m, No. 166

Structure (POSCAR):
```
SrMnRu2
1.0
2.1565 1.2450 5.5349
-2.1565 1.2450 5.5349
0.0000 -2.4901 5.5349
Sr Mn Ru
1 1 2
direct
0.0000 0.0000 0.0000
0.5000 0.5000 0.5000
0.1884 0.1884 0.1884
0.8116 0.8116 0.8116
```

***

(x)
# SrMnRu2

A relaxed SrMnRu2 crystal (PBE, Alexandria).

Results
Space-group type ... P4/mmm, No. 123

Structure (POSCAR):
```
SrMnRu2
1.0
4.6265 0.0000 0.0000
0.0000 4.6265 0.0000
0.0000 0.0000 3.3229
Sr Mn Ru
1 1 2
direct
0.0000 0.0000 0.0000
0.5000 0.5000 0.0000
0.0000 0.5000 0.5000
0.5000 0.0000 0.5000
```

***

(y)
# SrMnRu2

A relaxed SrMnRu2 crystal (PBE, Alexandria).

Results
Space-group type ... I4_1/amd, No. 141

Structure (POSCAR):
```
SrMnRu2
1.0
-2.4721 2.4721 7.7527
2.4721 -2.4721 7.7527
2.4721 2.4721 -7.7527
Sr Mn Ru
2 2 4
direct
0.3750 0.6250 0.7500
0.6250 0.3750 0.2500
0.1250 0.8750 0.2500
0.8750 0.1250 0.7500
0.0000 0.0000 0.0000
0.0000 0.0000 0.5000
0.0000 0.5000 0.0000
0.5000 0.0000 0.5000
```

***

(z)
# SrMnRu2

A relaxed SrMnRu2 crystal (PBE, Alexandria).

Results
Space-group type ... Cmmm, No. 65

Structure (POSCAR):
```
SrMnRu2
1.0
2.9940 -4.1740 0.0000
2.9940 4.1740 0.0000
0.0000 0.0000 2.8639
Sr Mn Ru
1 1 2
direct
0.0000 0.0000 0.0000
0.5000 0.5000 0.0000
0.0000 0.5000 0.5000
0.5000 0.0000 0.5000
```

***

Least stable of them? (y).